A relaxed structure of Pm2Sm2CuRh4, computed with PBE.

Values from the calculation:
As for the formation energy: -0.38 eV per atom. The value obtained for the total energy is -6.202 eV/atom.

The structure in CIF format:
```
data_Pm2Sm2CuRh4
_chemical_formula_sum 'Pm4 Sm4 Cu2 Rh8'
_cell_length_a 6.849
_cell_length_b 6.849
_cell_length_c 8.277
_cell_angle_alpha 90.00
_cell_angle_beta 90.00
_cell_angle_gamma 90.00
_symmetry_space_group_name_H-M 'I 4/m m m'
_symmetry_Int_Tables_number 139
_symmetry_space_group_name_Hall '-I 4 2'
loop_
_atom_site_label
_atom_site_fract_x
_atom_site_fract_y
_atom_site_fract_z
Pm1 0.000 0.500 0.250
Sm1 0.000 0.000 0.195
Cu1 0.000 0.000 0.500
Rh1 0.240 0.240 0.000
```